# CsLiHo, optimized geometry, DFT PBE-GGA
data_CsLiHo
_symmetry_space_group_name_H-M 'P 1'
_symmetry_Int_Tables_number 1
_cell_length_a 5.804
_cell_length_b 5.804
_cell_length_c 5.804
_cell_angle_alpha 60.00
_cell_angle_beta 60.00
_cell_angle_gamma 60.00
loop_
_symmetry_equiv_pos_as_xyz
'x,y,z'
loop_
_atom_site_label
_atom_site_fract_x
_atom_site_fract_y
_atom_site_fract_z
Cs1 0.250 0.250 0.250
Ho1 0.750 0.750 0.750
Li1 0.000 0.000 0.000
# * volume: 138.3 Å³/f.u.
# * total energy: -1.565 eV/atom
# * M_tot: 0.0 μB/f.u.

# Cu2Ag, optimized geometry, DFT PBE-GGA
data_Cu2Ag
_symmetry_space_group_name_H-M 'P 1'
_symmetry_Int_Tables_number 1
_cell_length_a 7.007
_cell_length_b 7.007
_cell_length_c 7.792
_cell_angle_alpha 121.15
_cell_angle_beta 121.15
_cell_angle_gamma 22.69
loop_
_symmetry_equiv_pos_as_xyz
'x,y,z'
loop_
_atom_site_label
_atom_site_fract_x
_atom_site_fract_y
_atom_site_fract_z
Ag1 0.610 0.610 0.676
Ag2 0.390 0.390 0.324
Ag3 0.500 0.500 0.000
Cu1 0.825 0.825 0.980
Cu2 0.932 0.932 0.658
Cu3 0.175 0.175 0.020
Cu4 0.068 0.068 0.342
Cu5 0.278 0.278 0.660
Cu6 0.722 0.722 0.340
# * volume: 41.8 Å³/f.u.
# * distance to the lowest polymorph of the same formula: 44 meV/atom
# * energy of formation from the pure elements: 0.090 eV per atom

# GdAl2PtAu, optimized geometry, DFT PBE-GGA
data_GdAl2PtAu
_symmetry_space_group_name_H-M 'P 1'
_symmetry_Int_Tables_number 1
_cell_length_a 4.309
_cell_length_b 4.309
_cell_length_c 10.472
_cell_angle_alpha 90.00
_cell_angle_beta 90.00
_cell_angle_gamma 90.00
loop_
_symmetry_equiv_pos_as_xyz
'x,y,z'
loop_
_atom_site_label
_atom_site_fract_x
_atom_site_fract_y
_atom_site_fract_z
Al1 0.500 0.500 0.500
Al2 0.500 0.000 0.139
Al3 0.000 0.500 0.861
Al4 0.000 0.000 0.500
Pt1 0.500 0.000 0.371
Pt2 0.000 0.500 0.629
Gd1 0.500 0.000 0.740
Gd2 0.000 0.500 0.260
Au1 0.500 0.500 0.000
Au2 0.000 0.000 0.000
# * volume: 97.2 Å³/f.u.
# * total energy: -5.232 eV/atom
# * M_tot: 0.0 μB/f.u.

# MgZrCoAs, optimized geometry, DFT PBE-GGA
data_MgZrCoAs
_symmetry_space_group_name_H-M 'P 1'
_symmetry_Int_Tables_number 1
_cell_length_a 4.533
_cell_length_b 4.533
_cell_length_c 4.533
_cell_angle_alpha 60.00
_cell_angle_beta 60.00
_cell_angle_gamma 60.00
loop_
_symmetry_equiv_pos_as_xyz
'x,y,z'
loop_
_atom_site_label
_atom_site_fract_x
_atom_site_fract_y
_atom_site_fract_z
As1 0.000 0.000 0.000
Mg1 0.500 0.500 0.500
Co1 0.750 0.750 0.750
Zr1 0.250 0.250 0.250
# * volume: 65.9 Å³/f.u.
# * distance to the lowest polymorph of the same formula: 9 meV/atom
# * M_tot: 1.3 μB/f.u.